Crystalline Ga2Ge2Se at its relaxed geometry. Source: Alexandria via LeMat-Bulk, functional PBE.

As for the uncorrected formation energy: 0.099 eV per atom. Its energy above the most stable polymorph in this dataset is 0 meV per atom. Its crystal system is tetragonal. The value obtained for the total magnetization is 0.00 μB/f.u.

It has space group I4/mmm (No. 139), with a = 3.741 Å, b = 3.741 Å, c = 14.652 Å, α = 90.00°, β = 90.00° and γ = 90.00°. The distinct sites, in fractional coordinates, are Ga at (0.000, 0.000, 0.095), Ge at (0.000, 0.500, 0.250) and Se at (0.000, 0.000, 0.500).